1.
Material: LaZrHg2
Method: DFT, PBE-GGA
State: optimized geometry

The structure in CIF format:
```
data_LaZrHg2
_space_group_name_H-M_alt 'P 1'
_space_group_IT_number 1
_space_group_name_Hall 'P 1'
_cell_length_a 6.201
_cell_length_b 6.201
_cell_length_c 5.398
_cell_angle_alpha 114.75
_cell_angle_beta 114.75
_cell_angle_gamma 33.01
loop_
_atom_site_label
_atom_site_fract_x
_atom_site_fract_y
_atom_site_fract_z
_atom_site_occupancy
La1 0.000 0.000 0.000 1
Zr1 0.239 0.239 0.800 1
Hg1 0.501 0.501 0.495 1
Hg2 0.766 0.766 0.323 1
```

Summary:
Space-group type: No. 8
Density (g/cm³): 10.31

2.
Material: La2Zr2Hg
Method: DFT, PBE-GGA
State: optimized geometry

The structure in CIF format:
```
data_La2Zr2Hg
_space_group_name_H-M_alt 'P 1'
_space_group_IT_number 1
_space_group_name_Hall 'P 1'
_cell_length_a 8.362
_cell_length_b 8.362
_cell_length_c 8.362
_cell_angle_alpha 150.23
_cell_angle_beta 150.23
_cell_angle_gamma 42.61
loop_
_atom_site_label
_atom_site_fract_x
_atom_site_fract_y
_atom_site_fract_z
_atom_site_occupancy
La1 0.250 0.750 0.500 1
La2 0.750 0.250 0.500 1
Zr1 0.078 0.078 0.000 1
Zr2 0.922 0.922 0.000 1
Hg1 0.500 0.500 0.000 1
```

Summary:
Space-group type: No. 139
Density (g/cm³): 7.63

3.
Material: La2Zr2Hg
Method: DFT, PBE-GGA
State: optimized geometry

The structure in CIF format:
```
data_La2Zr2Hg
_space_group_name_H-M_alt 'P 1'
_space_group_IT_number 1
_space_group_name_Hall 'P 1'
_cell_length_a 7.659
_cell_length_b 7.659
_cell_length_c 4.888
_cell_angle_alpha 90.00
_cell_angle_beta 90.00
_cell_angle_gamma 90.00
loop_
_atom_site_label
_atom_site_fract_x
_atom_site_fract_y
_atom_site_fract_z
_atom_site_occupancy
La1 0.165 0.335 0.000 1
La2 0.335 0.835 0.000 1
La3 0.665 0.165 0.000 1
La4 0.835 0.665 0.000 1
Zr1 0.140 0.640 0.500 1
Zr2 0.360 0.140 0.500 1
Zr3 0.640 0.860 0.500 1
Zr4 0.860 0.360 0.500 1
Hg1 0.000 0.000 0.500 1
Hg2 0.500 0.500 0.500 1
```

Summary:
Space-group type: No. 127
Density (g/cm³): 7.65

4.
Material: La3ZrHg
Method: DFT, PBE-GGA
State: optimized geometry

The structure in CIF format:
```
data_La3ZrHg
_space_group_name_H-M_alt 'P 1'
_space_group_IT_number 1
_space_group_name_Hall 'P 1'
_cell_length_a 5.864
_cell_length_b 5.864
_cell_length_c 5.864
_cell_angle_alpha 90.00
_cell_angle_beta 90.00
_cell_angle_gamma 90.00
loop_
_atom_site_label
_atom_site_fract_x
_atom_site_fract_y
_atom_site_fract_z
_atom_site_occupancy
La1 0.000 0.000 0.500 1
La2 0.000 0.500 0.000 1
La3 0.500 0.000 0.000 1
Zr1 0.500 0.500 0.500 1
Hg1 0.000 0.000 0.000 1
```

Summary:
Space-group type: No. 221
Density (g/cm³): 5.83

5.
Material: LaZr2Hg
Method: DFT, PBE-GGA
State: optimized geometry

The structure in CIF format:
```
data_LaZr2Hg
_space_group_name_H-M_alt 'P 1'
_space_group_IT_number 1
_space_group_name_Hall 'P 1'
_cell_length_a 5.867
_cell_length_b 5.867
_cell_length_c 5.627
_cell_angle_alpha 103.82
_cell_angle_beta 103.82
_cell_angle_gamma 32.61
loop_
_atom_site_label
_atom_site_fract_x
_atom_site_fract_y
_atom_site_fract_z
_atom_site_occupancy
La1 0.000 0.000 0.000 1
Zr1 0.231 0.231 0.731 1
Zr2 0.769 0.769 0.269 1
Hg1 0.500 0.500 0.500 1
```

Summary:
Space-group type: No. 12
Density (g/cm³): 8.57

6.
Material: LaZrHg
Method: DFT, PBE-GGA
State: optimized geometry

The structure in CIF format:
```
data_LaZrHg
_space_group_name_H-M_alt 'P 1'
_space_group_IT_number 1
_space_group_name_Hall 'P 1'
_cell_length_a 5.128
_cell_length_b 5.128
_cell_length_c 3.629
_cell_angle_alpha 90.00
_cell_angle_beta 90.00
_cell_angle_gamma 120.00
loop_
_atom_site_label
_atom_site_fract_x
_atom_site_fract_y
_atom_site_fract_z
_atom_site_occupancy
La1 0.000 0.000 0.000 1
Zr1 0.667 0.333 0.499 1
Hg1 0.333 0.667 0.501 1
```

Summary:
Space-group type: No. 156
Density (g/cm³): 8.66

Number 1: formation energy from the elements -128 meV/atom, calculated total energy -3.648 eV/atom. Number 2: formation energy from the elements 604 meV/atom, calculated total energy -4.847 eV/atom. Number 3: formation energy from the elements 60 meV/atom, calculated total energy -5.391 eV/atom. Number 4: formation energy from the elements 630 meV/atom, calculated total energy -4.096 eV/atom. Number 5: formation energy from the elements -19 meV/atom, calculated total energy -5.600 eV/atom. Number 6: formation energy from the elements -22 meV/atom, calculated total energy -4.614 eV/atom.